A relaxed structure of CaAlIr3, computed with GGA-PBE.

Cell and atoms, written as CIF:
```
data_CaAlIr3
_cell_length_a 4.5589
_cell_length_b 4.5589
_cell_length_c 4.5589
_cell_angle_alpha 90.00
_cell_angle_beta 90.00
_cell_angle_gamma 90.00
_space_group_name_H-M_alt 'P m -3 m'
_space_group_IT_number 221
_space_group_name_Hall '-P 4 2 3'
loop_
_atom_site_label
_atom_site_type_symbol
_atom_site_fract_x
_atom_site_fract_y
_atom_site_fract_z
_atom_site_occupancy
Ca1 Ca 0.0000 0.0000 0.0000 1
Al1 Al 0.5000 0.5000 0.5000 1
Ir1 Ir 0.0000 0.5000 0.5000 1
```

Calculated values
Crystal system: cubic
Offset from the most stable computed form (meV per atom): 0
Magnetization (μB per cell): 0.00
DFT formation energy (eV/atom): 0.3167
Uncorrected energy (eV per atom): -6.1488



A relaxed structure of NdY2Sc, computed with GGA-PBE.

Cell and atoms, written as CIF:
```
data_NdY2Sc
_cell_length_a 3.5558
_cell_length_b 3.5558
_cell_length_c 34.0189
_cell_angle_alpha 90.00
_cell_angle_beta 90.00
_cell_angle_gamma 120.00
_space_group_name_H-M_alt 'R 3 m'
_space_group_IT_number 160
_space_group_name_Hall 'R 3 -2"'
loop_
_atom_site_label
_atom_site_type_symbol
_atom_site_fract_x
_atom_site_fract_y
_atom_site_fract_z
_atom_site_occupancy
Nd1 Nd 0.0000 0.0000 0.0000 1
Y1 Y 0.0000 0.0000 0.5786 1
Y2 Y 0.0000 0.0000 0.7537 1
Sc1 Sc 0.0000 0.0000 0.1657 1
```

Calculated values
Crystal system: trigonal
Offset from the most stable computed form (meV per atom): 21
Magnetization (μB per cell): 0.00
DFT formation energy (eV/atom): 0.0500
Uncorrected energy (eV per atom): -5.9569